The following is a PBE-GGA calculation of a geometry-optimized Li2HgMoSe structure, from Alexandria.

Results
space group = No. 123
calculated volume = 136 Å³/cell
ΔE_f (raw) = 2.17 eV/f.u.
N(E_F) = 1.6 states/eV per cell

POSCAR file:
```
Li2HgMoSe
1.0
-4.0772 -1.4197 1.1497
1.3583 -6.0954 -2.7098
1.5946 -1.3936 3.9339
Li Se Mo Hg
2 1 1 1
Direct
0.0000 0.0000 0.5000 Li
0.5000 0.0000 0.0000 Li
0.0000 0.0000 0.0000 Se
0.5000 0.5000 0.5000 Mo
0.0000 0.5000 0.0000 Hg
```

***

The following is a PBE-GGA calculation of a geometry-optimized Li2SiHgMo structure, from Alexandria.

Results
space group = No. 123
calculated volume = 103 Å³/cell
ΔE_f (raw) = 4.85 eV/f.u.
N(E_F) = 2.2 states/eV per cell

POSCAR file:
```
Li2SiHgMo
1.0
-1.0262 -4.2326 -1.4220
4.7290 -1.2073 0.1809
-0.5082 -1.3388 4.3519
Li Si Mo Hg
2 1 1 1
Direct
0.0000 0.0000 0.5000 Li
0.5000 0.0000 0.0000 Li
0.0000 0.5000 0.0000 Si
0.5000 0.5000 0.5000 Mo
0.0000 0.0000 0.0000 Hg
```

***

The following is a PBE-GGA calculation of a geometry-optimized LiSnHgMo2 structure, from Alexandria.

Results
space group = No. 123
calculated volume = 89 Å³/cell
N(E_F) = 5.2 states/eV per cell
calculated formation energy = 1144 meV per atom

POSCAR file:
```
LiSnHgMo2
1.0
-0.2460 -1.7778 4.0613
4.4294 -0.7865 -0.0760
0.7399 3.9941 1.7931
Sn Hg Mo Li
1 1 2 1
Direct
0.0000 0.5000 0.0000 Sn
0.5000 0.5000 0.5000 Hg
0.0000 0.0000 0.5000 Mo
0.5000 0.0000 0.0000 Mo
0.0000 0.0000 0.0000 Li
```

***

The following is a PBE-GGA calculation of a geometry-optimized LiHg2TeMo structure, from Alexandria.

Results
space group = No. 123
calculated volume = 128 Å³/cell
ΔE_f (raw) = 3.25 eV/f.u.
N(E_F) = 1.1 states/eV per cell

POSCAR file:
```
LiHg2TeMo
1.0
4.8349 0.0000 0.0000
0.0000 5.4691 0.0000
0.0000 0.0000 4.8349
Mo Hg Te Li
1 2 1 1
Direct
0.5000 0.5000 0.5000 Mo
0.0000 0.0000 0.5000 Hg
0.5000 0.0000 0.0000 Hg
0.0000 0.5000 0.0000 Te
0.0000 0.0000 0.0000 Li
```